# 1
Entry from the Alexandria database: a geometry-optimized LiCd2Si structure (PBE).

## Properties
energy relative to the elements, uncorrected = 0.090 eV per atom

Unit cell a=3.6780 b=3.6780 c=5.6727 alpha=90.00 beta=90.00 gamma=90.00
With the nearest neighbours (Å) after each atom.
Fractional positions:
Li 0.0000 0.0000 0.0000  6 Cd 2.68-2.99, 4 Si 2.94
Cd 0.0000 0.0000 0.4724  2 Li 2.68-2.99, 4 Si 2.91
Cd 0.5000 0.5000 0.7595  2 Si 2.73-2.94, 4 Li 2.94
Si 0.5000 0.5000 0.2412  6 Cd 2.73-2.94, 4 Li 2.94

# 2
Entry from the Alexandria database: a geometry-optimized DyYMgPb structure (PBE).

## Properties
energy of formation from the pure elements = -0.2869 eV/atom

Unit cell a=7.5878 b=7.5878 c=7.5878 alpha=90.00 beta=90.00 gamma=90.00
With the nearest neighbours (Å) after each atom.
Fractional positions:
Dy 0.0000 0.0000 0.0000  4 Mg 3.29, 4 Pb 3.29
Dy 0.0000 0.5000 0.5000  4 Pb 3.29, 4 Mg 3.29
Dy 0.5000 0.0000 0.5000  4 Pb 3.29, 4 Mg 3.29
Dy 0.5000 0.5000 0.0000  4 Pb 3.29, 4 Mg 3.29
Y 0.0000 0.0000 0.5000  4 Pb 3.29, 4 Mg 3.29
Y 0.0000 0.5000 0.0000  4 Pb 3.29, 4 Mg 3.29
Y 0.5000 0.0000 0.0000  4 Pb 3.29, 4 Mg 3.29
Y 0.5000 0.5000 0.5000  4 Pb 3.29, 4 Mg 3.29
Mg 0.2500 0.2500 0.7500  4 Dy 3.29, 4 Y 3.29
Mg 0.2500 0.7500 0.2500  4 Dy 3.29, 4 Y 3.29
Mg 0.7500 0.2500 0.2500  4 Dy 3.29, 4 Y 3.29
Mg 0.7500 0.7500 0.7500  4 Dy 3.29, 4 Y 3.29
Pb 0.2500 0.2500 0.2500  4 Dy 3.29, 4 Y 3.29
Pb 0.2500 0.7500 0.7500  4 Dy 3.29, 4 Y 3.29
Pb 0.7500 0.2500 0.7500  4 Dy 3.29, 4 Y 3.29
Pb 0.7500 0.7500 0.2500  4 Dy 3.29, 4 Y 3.29

# 3
Entry from the Alexandria database: a geometry-optimized CaCrIn structure (PBE).

## Properties
energy of formation from the pure elements = 0.1575 eV/atom

Unit cell a=4.9872 b=4.9872 c=3.5037 alpha=90.00 beta=90.00 gamma=120.00
With the nearest neighbours (Å) after each atom.
Fractional positions:
Ca 0.0000 0.0000 0.0000  6 Cr 3.37, 6 In 3.37, 2 Ca 3.50
Cr 0.6667 0.3333 0.5000  3 In 2.88
In 0.3333 0.6667 0.5000  3 Cr 2.88

# 4
Entry from the Alexandria database: a geometry-optimized U2Fe3Sn2 structure (PBE).

## Properties
energy of formation from the pure elements = -0.1827 eV/atom

Unit cell a=11.9287 b=4.5324 c=4.8595 alpha=90.00 beta=98.57 gamma=90.00
With the nearest neighbours (Å) after each atom.
Fractional positions:
U 0.1511 0.0000 0.3568  2 Fe 2.11-2.31
U 0.3489 0.5000 0.6432  2 Fe 2.11-2.31
U 0.6511 0.5000 0.3568  2 Fe 2.11-2.31
U 0.8489 0.0000 0.6432  2 Fe 2.11-2.31
Fe 0.0000 0.0000 0.0000  2 U 2.31
Fe 0.2070 0.0000 0.7889  1 U 2.11
Fe 0.2930 0.5000 0.2111  1 U 2.11
Fe 0.5000 0.5000 0.0000  2 U 2.31
Fe 0.7070 0.5000 0.7889  1 U 2.11
Fe 0.7930 0.0000 0.2111  1 U 2.11
Sn 0.0929 0.5000 0.8264  5 Fe 2.66-2.80, 1 Sn 2.98
Sn 0.4071 0.0000 0.1736  5 Fe 2.66-2.80, 1 Sn 2.98
Sn 0.5929 0.0000 0.8264  5 Fe 2.66-2.80, 1 Sn 2.98
Sn 0.9071 0.5000 0.1736  5 Fe 2.66-2.80, 1 Sn 2.98

# 5
Entry from the Alexandria database: a geometry-optimized BaLi6Ag4 structure (PBE).

## Properties
energy of formation from the pure elements = -0.1578 eV/atom

Unit cell a=7.8337 b=7.8337 c=4.3901 alpha=90.00 beta=90.00 gamma=120.00
With the nearest neighbours (Å) after each atom.
Fractional positions:
Ba 0.0000 0.0000 0.0000  6 Ag 3.59, 12 Li 3.59-3.94
Li 0.2096 0.4192 0.5000  4 Ag 2.76-2.84, 2 Li 2.91
Li 0.2096 0.7904 0.5000  4 Ag 2.76-2.84, 2 Li 2.91
Li 0.5325 0.0650 0.0000  5 Ag 2.70-2.81
Li 0.5325 0.4675 0.0000  5 Ag 2.70-2.81
Li 0.5808 0.7904 0.5000  4 Ag 2.76-2.84, 2 Li 2.91
Li 0.9350 0.4675 0.0000  5 Ag 2.70-2.81
Ag 0.3333 0.6667 0.0000  9 Li 2.70-2.76
Ag 0.4187 0.2093 0.5000  6 Li 2.81-2.84, 2 Ag 2.91
Ag 0.7907 0.2093 0.5000  6 Li 2.81-2.84, 2 Ag 2.91
Ag 0.7907 0.5813 0.5000  6 Li 2.81-2.84, 2 Ag 2.91

# 6
Entry from the Alexandria database: a geometry-optimized CoSiSn2Pb structure (PBE).

## Properties
energy relative to the elements, uncorrected = 0.170 eV per atom

Unit cell a=5.1144 b=5.1144 c=4.2589 alpha=90.00 beta=90.00 gamma=90.00
With the nearest neighbours (Å) after each atom.
Fractional positions:
Co 0.0000 0.0000 0.0000  2 Si 2.13
Si 0.0000 0.0000 0.5000  2 Co 2.13
Sn 0.0000 0.5000 0.0000  2 Co 2.56
Sn 0.5000 0.0000 0.0000  2 Co 2.56
Pb 0.5000 0.5000 0.5000  8 Sn 3.33, 4 Si 3.62

# 7
Entry from the Alexandria database: a geometry-optimized K2SnSbTe4 structure (PBE).

## Properties
energy relative to the elements, uncorrected = -0.496 eV per atom

Unit cell a=9.3559 b=9.3559 c=9.3559 alpha=120.27 beta=119.78 gamma=89.96
With the nearest neighbours (Å) after each atom.
Fractional positions:
K 0.0000 0.0000 0.0000  6 Te 3.49-3.50
K 0.5000 0.0000 0.0000  6 Te 3.49-3.50
K 0.5000 0.0000 0.5000  6 Te 3.49-3.50
K 0.5000 0.5000 0.5000  6 Te 3.49-3.50
Sn 0.0000 0.0000 0.5000  6 Te 3.14-3.15
Sn 0.0000 0.5000 0.0000  6 Te 3.14-3.15
Sb 0.0000 0.5000 0.5000  6 Te 3.14
Sb 0.5000 0.5000 0.0000  6 Te 3.14
Te 0.2095 0.7366 0.4729  2 Sn 3.14, 1 Sb 3.14, 3 K 3.50
Te 0.2363 0.2634 0.9729  2 Sn 3.14, 1 Sb 3.14, 3 K 3.50
Te 0.2369 0.2631 0.5261  2 Sb 3.14, 1 Sn 3.15, 3 K 3.49
Te 0.2369 0.7108 0.9739  2 Sb 3.14, 1 Sn 3.15, 3 K 3.49
Te 0.7631 0.2892 0.0261  2 Sb 3.14, 1 Sn 3.15, 3 K 3.49
Te 0.7631 0.7369 0.4739  2 Sb 3.14, 1 Sn 3.15, 3 K 3.49
Te 0.7637 0.7366 0.0271  2 Sn 3.14, 1 Sb 3.14, 3 K 3.50
Te 0.7905 0.2634 0.5271  2 Sn 3.14, 1 Sb 3.14, 3 K 3.50

# 8
Entry from the Alexandria database: a geometry-optimized Tm2NbSi2Ru5 structure (PBE).

## Properties
energy relative to the elements, uncorrected = -0.685 eV per atom

Unit cell a=10.0131 b=10.0131 c=3.2286 alpha=90.00 beta=90.00 gamma=90.00
With the nearest neighbours (Å) after each atom.
Fractional positions:
Tm 0.1730 0.3270 0.0000  3 Si 2.84-3.03, 10 Ru 2.93-3.14
Tm 0.3270 0.8270 0.0000  3 Si 2.84-3.03, 10 Ru 2.93-3.14
Tm 0.6730 0.1730 0.0000  3 Si 2.84-3.03, 10 Ru 2.93-3.14
Tm 0.8270 0.6730 0.0000  3 Si 2.84-3.03, 10 Ru 2.93-3.14
Nb 0.0000 0.0000 0.0000  8 Ru 2.72
Nb 0.5000 0.5000 0.0000  8 Ru 2.72
Si 0.1262 0.6262 0.0000  6 Ru 2.39-2.41
Si 0.3738 0.1262 0.0000  6 Ru 2.39-2.41
Si 0.6262 0.8738 0.0000  6 Ru 2.39-2.41
Si 0.8738 0.3738 0.0000  6 Ru 2.39-2.41
Ru 0.0000 0.5000 0.5000  4 Si 2.41
Ru 0.0679 0.7922 0.5000  2 Si 2.39
Ru 0.2078 0.0679 0.5000  2 Si 2.39
Ru 0.2922 0.5679 0.5000  2 Si 2.39
Ru 0.4321 0.2922 0.5000  2 Si 2.39
Ru 0.5000 0.0000 0.5000  4 Si 2.41
Ru 0.5679 0.7078 0.5000  2 Si 2.39
Ru 0.7078 0.4321 0.5000  2 Si 2.39
Ru 0.7922 0.9321 0.5000  2 Si 2.39
Ru 0.9321 0.2078 0.5000  2 Si 2.39

# 9
Entry from the Alexandria database: a geometry-optimized Na2ErSn3Se6 structure (PBE).

## Properties
energy relative to the elements, uncorrected = -0.905 eV per atom

Unit cell a=7.3033 b=7.3033 c=7.3424 alpha=99.52 beta=99.52 gamma=120.08
With the nearest neighbours (Å) after each atom.
Fractional positions:
Na 0.1679 0.8321 0.0000  6 Se 3.00-3.06
Na 0.8321 0.1679 0.0000  6 Se 3.00-3.06
Er 0.5000 0.5000 0.0000  6 Se 2.84-2.90
Sn 0.0000 0.0000 0.5000  6 Se 2.94-3.08
Sn 0.3370 0.6630 0.5000  6 Se 2.89-3.17
Sn 0.6630 0.3370 0.5000  6 Se 2.89-3.17
Se 0.1042 0.4152 0.7572  1 Er 2.84, 3 Sn 2.94-3.17, 2 Na 3.00-3.03
Se 0.2682 0.2682 0.2533  3 Sn 2.89-3.08, 1 Er 2.90, 2 Na 3.06
Se 0.4152 0.1042 0.7572  1 Er 2.84, 3 Sn 2.94-3.17, 2 Na 3.00-3.03
Se 0.5848 0.8958 0.2428  1 Er 2.84, 3 Sn 2.94-3.17, 2 Na 3.00-3.03
Se 0.7318 0.7318 0.7467  3 Sn 2.89-3.08, 1 Er 2.90, 2 Na 3.06
Se 0.8958 0.5848 0.2428  1 Er 2.84, 3 Sn 2.94-3.17, 2 Na 3.00-3.03

# 10
Entry from the Alexandria database: a geometry-optimized Ce3Al9Rh2 structure (PBE).

## Properties
energy of formation from the pure elements = -0.6110 eV/atom

Unit cell a=8.2144 b=8.2144 c=8.2144 alpha=149.00 beta=108.10 gamma=80.34
With the nearest neighbours (Å) after each atom.
Fractional positions:
Ce 0.0000 0.0000 0.0000  12 Al 3.17-3.21
Ce 0.2989 0.2989 0.0000  2 Rh 3.07, 10 Al 3.16-3.35
Ce 0.7011 0.7011 0.0000  2 Rh 3.07, 10 Al 3.16-3.35
Al 0.0132 0.6523 0.3609  1 Rh 2.58, 4 Al 2.61-2.85
Al 0.1541 0.8714 0.2827  4 Al 2.61-2.85, 2 Rh 2.75
Al 0.2914 0.6523 0.6391  1 Rh 2.58, 4 Al 2.61-2.85
Al 0.4114 0.1286 0.2827  4 Al 2.61-2.85, 2 Rh 2.75
Al 0.5000 0.0000 0.5000  4 Al 2.65, 4 Rh 2.81
Al 0.5886 0.8714 0.7173  4 Al 2.61-2.85, 2 Rh 2.75
Al 0.7086 0.3477 0.3609  1 Rh 2.58, 4 Al 2.61-2.85
Al 0.8459 0.1286 0.7173  4 Al 2.61-2.85, 2 Rh 2.75
Al 0.9868 0.3477 0.6391  1 Rh 2.58, 4 Al 2.61-2.85
Rh 0.3186 0.5000 0.8186  8 Al 2.58-2.81
Rh 0.6814 0.5000 0.1814  8 Al 2.58-2.81

# 11
Entry from the Alexandria database: a geometry-optimized Na3Hg5 structure (PBE).

## Properties
energy of formation from the pure elements = -0.2124 eV/atom
energy relative to the lowest polymorph listed for this composition = 0.10 eV/f.u.

Unit cell a=4.7058 b=4.7058 c=18.5526 alpha=90.00 beta=90.00 gamma=90.00
With the nearest neighbours (Å) after each atom.
Fractional positions:
Na 0.0000 0.0000 0.0000  8 Hg 3.28-3.33, 4 Na 3.42
Na 0.0000 0.5000 0.1339  10 Hg 3.17-3.42, 2 Na 3.42
Na 0.0000 0.5000 0.3661  10 Hg 3.17-3.42, 2 Na 3.42
Na 0.5000 0.0000 0.6339  10 Hg 3.17-3.42, 2 Na 3.42
Na 0.5000 0.0000 0.8661  10 Hg 3.17-3.42, 2 Na 3.42
Na 0.5000 0.5000 0.5000  8 Hg 3.28-3.33, 4 Na 3.42
Hg 0.0000 0.0000 0.2483  4 Na 3.17-3.21, 8 Hg 3.30-3.35
Hg 0.0000 0.0000 0.5000  4 Hg 3.28, 8 Na 3.33-3.42
Hg 0.0000 0.0000 0.7517  4 Na 3.17-3.21, 8 Hg 3.30-3.35
Hg 0.0000 0.5000 0.6234  6 Na 3.28-3.33, 6 Hg 3.28-3.35
Hg 0.0000 0.5000 0.8766  6 Hg 3.28-3.35, 6 Na 3.28-3.33
Hg 0.5000 0.0000 0.1234  6 Hg 3.28-3.35, 6 Na 3.28-3.33
Hg 0.5000 0.0000 0.3766  6 Na 3.28-3.33, 6 Hg 3.28-3.35
Hg 0.5000 0.5000 0.0000  4 Hg 3.28, 8 Na 3.33-3.42
Hg 0.5000 0.5000 0.2517  4 Na 3.17-3.21, 8 Hg 3.30-3.35
Hg 0.5000 0.5000 0.7483  4 Na 3.17-3.21, 8 Hg 3.30-3.35

# 12
Entry from the Alexandria database: a geometry-optimized LiGePdW2 structure (PBE).

## Properties
energy of formation from the pure elements = 1.2266 eV/atom

Unit cell a=4.2901 b=4.2901 c=4.0856 alpha=90.00 beta=90.00 gamma=90.00
With the nearest neighbours (Å) after each atom.
Fractional positions:
Li 0.0000 0.0000 0.0000  2 Ge 2.04, 4 W 2.15
Ge 0.0000 0.0000 0.5000  2 Li 2.04
Pd 0.5000 0.5000 0.5000  8 W 2.96, 4 Ge 3.03
W 0.0000 0.5000 0.0000  2 Li 2.15
W 0.5000 0.0000 0.0000  2 Li 2.15

| no. | volume (Å³ per atom) | VASP energy (eV per atom) |
| --- | --- | --- |
| 1 | 19.18 | -2.20 |
| 2 | 27.30 | -4.38 |
| 3 | 25.16 | -4.63 |
| 4 | 18.56 | -8.18 |
| 5 | 21.21 | -2.41 |
| 6 | 22.28 | -4.68 |
| 7 | 36.18 | -3.36 |
| 8 | 16.19 | -8.31 |
| 9 | 26.65 | -4.25 |
| 10 | 18.99 | -5.34 |
| 11 | 25.68 | -0.90 |
| 12 | 15.04 | -6.30 |